Entry w
# Pd6PtPb

A relaxed structure of Pd6PtPb (PBE, Alexandria via LeMat-Bulk).

abc: 4.0491 4.0491 7.9705
angles: 90.00 90.00 90.00
Last column: nearest neighbours and their distance in Å.
Fractional positions:
Pd: 0.5000 0.5000 0.0000  4 Pb 2.86, 8 Pd 2.88
Pd: 0.5000 0.5000 0.5000  8 Pd 2.80, 4 Pt 2.86
Pd: 0.5000 0.0000 0.2570  2 Pt 2.80, 8 Pd 2.80-2.88, 2 Pb 2.88
Pd: 0.5000 0.0000 0.7430  2 Pt 2.80, 8 Pd 2.80-2.88, 2 Pb 2.88
Pd: 0.0000 0.5000 0.2570  2 Pt 2.80, 8 Pd 2.80-2.88, 2 Pb 2.88
Pd: 0.0000 0.5000 0.7430  2 Pt 2.80, 8 Pd 2.80-2.88, 2 Pb 2.88
Pt: 0.0000 0.0000 0.5000  12 Pd 2.80-2.86
Pb: 0.0000 0.0000 0.0000  12 Pd 2.86-2.88

Properties
* space group: P4/mmm
* mass density: 13.23 g/cm³

Entry x
# Pd6PtPb

A relaxed structure of Pd6PtPb (PBE, Alexandria via LeMat-Bulk).

abc: 6.9995 7.5679 5.1509
angles: 42.88 47.28 57.51
Last column: nearest neighbours and their distance in Å.
Fractional positions:
Pd: 0.9503 0.4543 0.8500  4 Pd 2.63-2.78, 1 Pt 2.73, 1 Pb 2.78
Pd: 0.7450 0.9507 0.7596  4 Pd 2.62-2.78, 1 Pt 2.73, 1 Pb 2.78
Pd: 0.4558 0.2547 0.3380  4 Pd 2.63-2.78, 1 Pt 2.73, 1 Pb 2.78
Pd: 0.2550 0.0493 0.2404  4 Pd 2.62-2.78, 1 Pt 2.73, 1 Pb 2.78
Pd: 0.0497 0.5457 0.1500  4 Pd 2.63-2.78, 1 Pt 2.73, 1 Pb 2.78
Pd: 0.5442 0.7453 0.6620  4 Pd 2.63-2.78, 1 Pt 2.73, 1 Pb 2.78
Pt: 0.5000 0.5000 0.5000  12 Pd 2.73-3.05
Pb: 0.0000 0.0000 0.0000  12 Pd 2.78-3.05

Properties
* space group: P-1
* mass density: 12.71 g/cm³

The most stable arrangement is entry w, and the next structure is 9.7 kJ/mol of atoms less stable.

Entry w
# PdPtPb4

A relaxed structure of PdPtPb4 (PBE, Alexandria via LeMat-Bulk).

abc: 5.7770 5.7770 5.7770
angles: 105.01 105.01 118.81
Last column: nearest neighbours and their distance in Å.
Fractional positions:
Pd: 0.0000 0.0000 0.0000  2 Pt 2.94, 8 Pb 3.02
Pt: 0.5000 0.5000 0.0000  2 Pd 2.94, 8 Pb 3.02
Pb: 0.5886 0.0886 0.1773  2 Pt 3.02, 2 Pd 3.02, 1 Pb 3.21
Pb: 0.9114 0.4114 0.8227  2 Pd 3.02, 2 Pt 3.02, 1 Pb 3.21
Pb: 0.0886 0.9114 0.5000  2 Pt 3.02, 2 Pd 3.02, 1 Pb 3.21
Pb: 0.4114 0.5886 0.5000  2 Pt 3.02, 2 Pd 3.02, 1 Pb 3.21

Properties
* space group: I422
* mass density: 12.91 g/cm³

Entry x
# PdPtPb4

A relaxed structure of PdPtPb4 (PBE, Alexandria via LeMat-Bulk).

abc: 6.8019 6.8020 8.3246
angles: 114.02 114.02 90.07
Last column: nearest neighbours and their distance in Å.
Fractional positions:
Pd: 0.3750 0.6250 0.2500  8 Pb 2.94-2.95
Pd: 0.6250 0.3750 0.7500  8 Pb 2.94-2.95
Pt: 0.8750 0.1250 0.2500  8 Pb 2.94-2.95
Pt: 0.1250 0.8750 0.7500  8 Pb 2.94-2.95
Pb: 0.2503 0.0002 0.5001  2 Pt 2.94-2.95, 2 Pd 2.94-2.95
Pb: 0.0000 0.7501 0.0008  2 Pt 2.94-2.95, 2 Pd 2.94-2.95
Pb: 0.2498 0.4997 0.4999  2 Pd 2.94-2.95, 2 Pt 2.94-2.95
Pb: 0.4997 0.7498 0.9993  2 Pt 2.94-2.95, 2 Pd 2.94-2.95
Pb: 0.7497 0.9998 0.4999  2 Pt 2.94-2.95, 2 Pd 2.94-2.95
Pb: 0.7502 0.5003 0.5001  2 Pd 2.94-2.95, 2 Pt 2.94-2.95
Pb: 0.0000 0.2499 0.9992  2 Pt 2.94-2.95, 2 Pd 2.94-2.95
Pb: 0.5003 0.2502 0.0007  2 Pt 2.94-2.95, 2 Pd 2.94-2.95

Properties
* space group: C2/c
* mass density: 11.92 g/cm³

The most stable arrangement is entry x, and the next structure is 1.2 kJ/mol of atoms less stable.

Entry w
# Pd8PtPb2

A relaxed structure of Pd8PtPb2 (PBE, Alexandria via LeMat-Bulk).

abc: 5.0490 8.0788 8.0788
angles: 38.60 72.77 72.77
Last column: nearest neighbours and their distance in Å.
Fractional positions:
Pd: 0.3012 0.3390 0.8341  7 Pd 2.64-2.95, 1 Pt 2.67
Pd: 0.6988 0.1659 0.6610  7 Pd 2.64-2.95, 1 Pt 2.67
Pd: 0.9229 0.7383 0.7383  7 Pd 2.73-2.89, 2 Pb 2.76-2.81
Pd: 0.0771 0.2617 0.2617  7 Pd 2.73-2.89, 2 Pb 2.76-2.81
Pd: 0.3012 0.8341 0.3390  7 Pd 2.64-2.95, 1 Pt 2.67
Pd: 0.6988 0.6610 0.1659  7 Pd 2.64-2.95, 1 Pt 2.67
Pd: 0.7854 0.5790 0.5790  8 Pd 2.69-3.00, 2 Pt 2.99
Pd: 0.2146 0.4210 0.4210  8 Pd 2.69-3.00, 2 Pt 2.99
Pt: 0.0000 0.0000 0.0000  8 Pd 2.67-2.99, 2 Pb 2.75
Pb: 0.3400 0.8194 0.8194  1 Pt 2.75, 6 Pd 2.76-3.05
Pb: 0.6600 0.1806 0.1806  1 Pt 2.75, 6 Pd 2.76-3.05

Properties
* space group: C2/m
* mass density: 12.43 g/cm³

Entry x
# Pd8PtPb2

A relaxed structure of Pd8PtPb2 (PBE, Alexandria via LeMat-Bulk).

abc: 4.0642 8.0450 7.4300
angles: 122.78 105.87 90.00
Last column: nearest neighbours and their distance in Å.
Fractional positions:
Pd: 0.6615 0.9115 0.3230  1 Pt 2.77, 7 Pd 2.79-2.92, 3 Pb 2.86-2.93
Pd: 0.3385 0.5885 0.6770  1 Pt 2.77, 7 Pd 2.79-2.92, 3 Pb 2.86-2.93
Pd: 0.1669 0.1669 0.3338  8 Pd 2.79-2.86, 2 Pt 2.83, 2 Pb 2.90
Pd: 0.0000 0.2447 0.0000  2 Pb 2.78, 6 Pd 2.79, 2 Pt 2.83
Pd: 0.8331 0.8331 0.6662  8 Pd 2.79-2.86, 2 Pt 2.83, 2 Pb 2.90
Pd: 0.6615 0.4115 0.3230  1 Pt 2.77, 7 Pd 2.79-2.92, 3 Pb 2.86-2.93
Pd: 0.3385 0.0885 0.6770  1 Pt 2.77, 7 Pd 2.79-2.92, 3 Pb 2.86-2.93
Pd: 0.0000 0.7553 0.0000  2 Pb 2.78, 6 Pd 2.79, 2 Pt 2.83
Pt: 0.5000 0.0000 0.0000  12 Pd 2.77-2.83
Pb: 0.1585 0.6585 0.3170  10 Pd 2.78-2.93
Pb: 0.8415 0.3415 0.6830  10 Pd 2.78-2.93

Properties
* space group: Immm
* mass density: 12.56 g/cm³

The most stable arrangement is entry x, and the next structure is 11.3 kJ/mol of atoms less stable.

Entry w
# Pd8Pt2Pb

A relaxed structure of Pd8Pt2Pb (PBE, Alexandria via LeMat-Bulk).

abc: 4.0220 6.2792 7.5007
angles: 104.13 105.55 90.00
Last column: nearest neighbours and their distance in Å.
Fractional positions:
Pd: 0.5927 0.4586 0.1854  8 Pd 2.79-2.88, 3 Pt 2.81, 1 Pb 2.85
Pd: 0.3154 0.0905 0.6308  8 Pd 2.77-2.86, 3 Pt 2.82-2.83, 1 Pb 2.86
Pd: 0.1384 0.1864 0.2769  7 Pd 2.77-2.88, 3 Pt 2.77-2.83, 2 Pb 2.87
Pd: 0.0474 0.7236 0.0949  1 Pt 2.79, 9 Pd 2.79-2.88, 2 Pb 2.85
Pd: 0.8616 0.8136 0.7231  7 Pd 2.77-2.88, 3 Pt 2.77-2.83, 2 Pb 2.87
Pd: 0.6846 0.9095 0.3692  8 Pd 2.77-2.86, 3 Pt 2.82-2.83, 1 Pb 2.86
Pd: 0.4073 0.5414 0.8146  8 Pd 2.79-2.88, 3 Pt 2.81, 1 Pb 2.85
Pd: 0.9526 0.2764 0.9051  1 Pt 2.79, 9 Pd 2.79-2.88, 2 Pb 2.85
Pt: 0.2267 0.6335 0.4534  10 Pd 2.77-2.83, 2 Pt 2.81
Pt: 0.7733 0.3665 0.5466  10 Pd 2.77-2.83, 2 Pt 2.81
Pb: 0.5000 0.0000 0.0000  12 Pd 2.85-2.87

Properties
* space group: C2/m
* mass density: 13.63 g/cm³

Entry x
# Pd8Pt2Pb

A relaxed structure of Pd8Pt2Pb (PBE, Alexandria via LeMat-Bulk).

abc: 5.4093 7.1288 7.1288
angles: 44.42 79.48 79.48
Last column: nearest neighbours and their distance in Å.
Fractional positions:
Pd: 0.6621 0.1622 0.6525  7 Pd 2.64-2.89, 2 Pt 2.71-2.82, 1 Pb 2.76
Pd: 0.3379 0.3475 0.8378  7 Pd 2.64-2.89, 2 Pt 2.71-2.82, 1 Pb 2.76
Pd: 0.0031 0.2426 0.2426  2 Pt 2.62-2.79, 7 Pd 2.70-2.88
Pd: 0.9969 0.7574 0.7574  2 Pt 2.62-2.79, 7 Pd 2.70-2.88
Pd: 0.6621 0.6525 0.1622  7 Pd 2.64-2.89, 2 Pt 2.71-2.82, 1 Pb 2.76
Pd: 0.3379 0.8378 0.3475  7 Pd 2.64-2.89, 2 Pt 2.71-2.82, 1 Pb 2.76
Pd: 0.1880 0.4194 0.4194  6 Pd 2.64-2.89, 1 Pt 2.69
Pd: 0.8120 0.5806 0.5806  6 Pd 2.64-2.89, 1 Pt 2.69
Pt: 0.5198 0.2386 0.2386  7 Pd 2.62-2.82, 2 Pt 2.71
Pt: 0.4802 0.7614 0.7614  7 Pd 2.62-2.82, 2 Pt 2.71
Pb: 0.0000 0.0000 0.0000  8 Pd 2.76-3.00

Properties
* space group: C2/m
* mass density: 12.75 g/cm³

The most stable arrangement is entry w, and the next structure is 14.5 kJ/mol of atoms less stable.